Entry 1:
Ba4Sr6I19 | PBE | optimized geometry

abc: 14.3288 14.3288 14.3288
angles: 90.00 90.00 90.00
With the nearest neighbours (Å) after each atom.
Space group I23 (No. 197)
Unique sites:
Ba1 0.1431 0.1431 0.8569 [8 per cell]  7 I 3.45-3.81
Sr1 0.0000 0.3446 0.5000 [12 per cell]  6 I 3.27-3.46
I1 0.0000 0.0000 0.0000 [2 per cell]  4 Ba 3.55
I2 0.0000 0.0000 0.3151 [12 per cell]  2 Sr 3.46, 2 Ba 3.81
I3 0.0743 0.3251 0.7150 [24 per cell]  2 Sr 3.27-3.30, 1 Ba 3.45

Properties
total magnetization: 0.02 μB/atom
raw total energy: -3.251 eV per atom
formation energy from raw total energies: -1.62 eV per atom

Entry 2:
Ba5Sr2I12 | PBE | optimized geometry

abc: 19.3606 8.9034 11.0453
angles: 90.00 102.75 90.00
With the nearest neighbours (Å) after each atom.
Space group C2/m (No. 12)
Unique sites:
Ba1 0.0000 0.0000 0.0000 [2 per cell]  6 I 3.40-3.60
Ba2 0.1721 0.5000 0.3526 [4 per cell]  7 I 3.54-3.77
Ba3 0.1981 0.5000 0.8523 [4 per cell]  7 I 3.49-3.60
Sr1 0.0000 0.2846 0.5000 [4 per cell]  6 I 3.35-3.48
I1 0.0133 0.5000 0.7674 [4 per cell]  2 Sr 3.48, 2 Ba 3.49-3.54
I2 0.0213 0.0000 0.3136 [4 per cell]  2 Sr 3.35, 1 Ba 3.40
I3 0.1512 0.2460 0.0740 [8 per cell]  4 Ba 3.59-3.77
I4 0.1765 0.2444 0.6063 [8 per cell]  1 Sr 3.38, 3 Ba 3.50-3.60

Properties
total magnetization: 0.10 μB/atom
raw total energy: -3.282 eV per atom
formation energy from raw total energies: -1.62 eV per atom

Entry 3:
BaSr2I2 | PBE | optimized geometry

abc: 5.7827 5.7827 15.4147
angles: 90.00 90.00 90.00
With the nearest neighbours (Å) after each atom.
Space group I4/mmm (No. 139)
Unique sites:
Ba1 0.0000 0.0000 0.0000 [2 per cell]  8 Sr 4.55, 8 I 4.82
Sr1 0.0000 0.0000 0.3700 [4 per cell]  4 I 3.43
I1 0.0000 0.5000 0.2500 [4 per cell]  4 Sr 3.43

Properties
total magnetization: 0.00 μB/atom
raw total energy: -2.512 eV per atom
offset from the most stable computed form: 0 meV per atom
formation energy from raw total energies: -0.83 eV per atom

Entry 4:
Ba2SrI6 | PBE | optimized geometry

abc: 9.2357 9.2357 5.0651
angles: 90.00 90.00 120.00
With the nearest neighbours (Å) after each atom.
Space group P-62m (No. 189)
Unique sites:
Ba1 0.3333 0.6667 0.0000 [2 per cell]  9 I 3.53-3.78
Sr1 0.0000 0.0000 0.5000 [1 per cell]  9 I 3.43-3.75
I1 0.0000 0.2497 0.0000 [3 per cell]  2 Sr 3.43, 2 Ba 3.53
I2 0.0000 0.5935 0.5000 [3 per cell]  1 Sr 3.75, 4 Ba 3.78, 6 I 4.06-4.14

Properties
total magnetization: 0.00 μB/atom
raw total energy: -3.379 eV per atom
offset from the most stable computed form: 13 meV per atom
formation energy from raw total energies: -1.73 eV per atom

Entry 5:
Ba2SrI6 | PBE | optimized geometry

abc: 24.9923 8.4069 8.3668
angles: 90.00 96.85 90.00
With the nearest neighbours (Å) after each atom.
Space group C2/c (No. 15)
Unique sites:
Ba1 0.1667 0.2390 0.2210 [8 per cell]  8 I 3.55-3.75
Sr1 0.0000 0.3152 0.7500 [4 per cell]  6 I 3.26-3.38
I1 0.0828 0.4501 0.4971 [8 per cell]  2 Sr 3.33-3.38, 1 Ba 3.71
I2 0.0848 0.0462 0.9033 [8 per cell]  1 Sr 3.26, 2 Ba 3.55-3.61
I3 0.2473 0.4995 0.9906 [8 per cell]  4 Ba 3.56-3.68

Properties
total magnetization: 0.00 μB/atom
raw total energy: -3.392 eV per atom
offset from the most stable computed form: 0 meV per atom
formation energy from raw total energies: -1.74 eV per atom

Entry 6:
BaSrTe2I | PBE | optimized geometry

abc: 6.4020 6.4020 6.4348
angles: 90.00 90.00 90.00
With the nearest neighbours (Å) after each atom.
Space group P4/mmm (No. 123)
Unique sites:
Ba1 0.0000 0.0000 0.0000 [1 per cell]  4 Te 3.20, 2 I 3.22
Sr1 0.5000 0.5000 0.5000 [1 per cell]  4 I 4.53, 8 Te 4.54
Te1 0.0000 0.5000 0.0000 [2 per cell]  2 Ba 3.20
I1 0.0000 0.0000 0.5000 [1 per cell]  2 Ba 3.22

Properties
total magnetization: 0.00 μB/atom
raw total energy: -3.068 eV per atom
offset from the most stable computed form: 312 meV per atom
formation energy from raw total energies: -0.78 eV per atom

Entry 7:
BaSrTeI2 | PBE | optimized geometry

abc: 6.4229 6.4229 6.7332
angles: 90.00 90.00 90.00
With the nearest neighbours (Å) after each atom.
Space group P4/mmm (No. 123)
Unique sites:
Ba1 0.0000 0.0000 0.0000 [1 per cell]  4 I 3.21, 2 Te 3.37
Sr1 0.5000 0.5000 0.5000 [1 per cell]  4 Te 4.54, 8 I 4.65
Te1 0.0000 0.0000 0.5000 [1 per cell]  2 Ba 3.37
I1 0.0000 0.5000 0.0000 [2 per cell]  2 Ba 3.21

Properties
total magnetization: 0.00 μB/atom
raw total energy: -3.043 eV per atom
offset from the most stable computed form: 297 meV per atom
formation energy from raw total energies: -1.07 eV per atom

Entry 8:
BaSrTe2I | PBE | optimized geometry

abc: 6.1455 6.1455 6.2319
angles: 90.00 90.00 90.00
With the nearest neighbours (Å) after each atom.
Space group P4/mmm (No. 123)
Unique sites:
Ba1 0.0000 0.0000 0.0000 [1 per cell]  4 I 4.35, 8 Te 4.38
Sr1 0.5000 0.5000 0.5000 [1 per cell]  4 Te 3.07, 2 I 3.12
Te1 0.0000 0.5000 0.5000 [2 per cell]  2 Sr 3.07
I1 0.5000 0.5000 0.0000 [1 per cell]  2 Sr 3.12

Properties
total magnetization: 0.00 μB/atom
raw total energy: -3.380 eV per atom
offset from the most stable computed form: 0 meV per atom
formation energy from raw total energies: -1.09 eV per atom